DFT (PBE) results for a relaxed SmErPd crystal.

Cell: 5.904 7.109 8.212 Å, 92.45 90.00 90.00°
Element x y z (fractional)
Sm 0.360 0.183 0.881
Er 0.133 0.691 0.871
Sm 0.140 0.683 0.381
Pd 0.141 0.962 0.137
Pd 0.859 0.038 0.863
Sm 0.860 0.317 0.619
Er 0.867 0.309 0.129
Sm 0.640 0.817 0.119
Pd 0.359 0.462 0.637
Er 0.367 0.191 0.371
Er 0.633 0.809 0.629
Pd 0.641 0.538 0.363

- Offset from the most stable computed form: 6.4 kJ/mol of atoms
- Total magnetic moment: 0.0 μB per cell
- ρ: 8.179 g cm⁻³